1.
VASP calculation (GGA-PBE) on K4ThSc3Te8 after structural relaxation.

CIF file:
```
data_K4ThSc3Te8
_cell_length_a 9.677
_cell_length_b 9.677
_cell_length_c 9.677
_cell_angle_alpha 53.65
_cell_angle_beta 53.65
_cell_angle_gamma 53.65
_space_group_name_H-M_alt 'P 1'
_space_group_IT_number 1
_space_group_name_Hall 'P 1'
loop_
_atom_site_label
_atom_site_type_symbol
_atom_site_fract_x
_atom_site_fract_y
_atom_site_fract_z
K1 K 0.000 0.000 0.000
K2 K 0.000 0.500 0.500
K3 K 0.500 0.000 0.500
K4 K 0.500 0.500 0.000
Th1 Th 0.500 0.500 0.500
Sc1 Sc 0.000 0.000 0.500
Sc2 Sc 0.000 0.500 0.000
Sc3 Sc 0.500 0.000 0.000
Te1 Te 0.222 0.742 0.742
Te2 Te 0.232 0.232 0.232
Te3 Te 0.258 0.258 0.778
Te4 Te 0.258 0.778 0.258
Te5 Te 0.742 0.222 0.742
Te6 Te 0.742 0.742 0.222
Te7 Te 0.768 0.768 0.768
Te8 Te 0.778 0.258 0.258
```

Size of the total moment, μB per formula unit: 0.00
Energy relative to the elements, uncorrected, eV/f.u.: -19.72

***

2.
VASP calculation (GGA-PBE) on Rb4CaTh3Te8 after structural relaxation.

CIF file:
```
data_Rb4CaTh3Te8
_cell_length_a 10.141
_cell_length_b 10.141
_cell_length_c 10.141
_cell_angle_alpha 53.75
_cell_angle_beta 53.75
_cell_angle_gamma 53.75
_space_group_name_H-M_alt 'P 1'
_space_group_IT_number 1
_space_group_name_Hall 'P 1'
loop_
_atom_site_label
_atom_site_type_symbol
_atom_site_fract_x
_atom_site_fract_y
_atom_site_fract_z
Rb1 Rb 0.000 0.000 0.000
Rb2 Rb 0.000 0.500 0.500
Rb3 Rb 0.500 0.000 0.500
Rb4 Rb 0.500 0.500 0.000
Ca1 Ca 0.500 0.500 0.500
Th1 Th 0.000 0.000 0.500
Th2 Th 0.000 0.500 0.000
Th3 Th 0.500 0.000 0.000
Te1 Te 0.231 0.737 0.737
Te2 Te 0.236 0.236 0.236
Te3 Te 0.263 0.263 0.769
Te4 Te 0.263 0.769 0.263
Te5 Te 0.737 0.231 0.737
Te6 Te 0.737 0.737 0.231
Te7 Te 0.764 0.764 0.764
Te8 Te 0.769 0.263 0.263
```

Size of the total moment, μB per formula unit: 0.00
Energy relative to the elements, uncorrected, eV/f.u.: -19.92

***

3.
VASP calculation (GGA-PBE) on MgTiO after structural relaxation.

CIF file:
```
data_MgTiO
_cell_length_a 4.227
_cell_length_b 2.940
_cell_length_c 6.227
_cell_angle_alpha 90.00
_cell_angle_beta 91.46
_cell_angle_gamma 90.00
_space_group_name_H-M_alt 'P 1'
_space_group_IT_number 1
_space_group_name_Hall 'P 1'
loop_
_atom_site_label
_atom_site_type_symbol
_atom_site_fract_x
_atom_site_fract_y
_atom_site_fract_z
Mg1 Mg 0.000 0.000 0.000
Mg2 Mg 0.491 0.500 0.752
Ti1 Ti 0.513 0.500 0.259
Ti2 Ti 0.980 0.000 0.471
O1 O 0.480 0.000 0.515
O2 O 0.991 0.500 0.739
```

Size of the total moment, μB per formula unit: 0.00
Energy relative to the lowest polymorph listed for this composition, eV per atom: 0.000
Energy relative to the elements, uncorrected, eV/f.u.: -4.72